Compound: LaNd2ErTm5
Source: Alexandria via LeMat-Bulk
Functional: PBE
Structure: optimized geometry

a = 9.853 Å, b = 9.853 Å, c = 9.853 Å
α = 127.49°, β = 127.49°, γ = 77.45°
Positions (direct):
La  0.250  0.250  0.000
La  0.750  0.750  0.000
Nd  0.117  0.617  0.734
Nd  0.383  0.117  0.500
Nd  0.617  0.883  0.500
Nd  0.883  0.383  0.266
Er  0.250  0.750  0.500
Er  0.750  0.250  0.500
Tm  0.000  0.000  0.000
Tm  0.073  0.153  0.500
Tm  0.153  0.653  0.081
Tm  0.347  0.427  0.500
Tm  0.427  0.927  0.081
Tm  0.500  0.500  0.000
Tm  0.573  0.073  0.919
Tm  0.653  0.573  0.500
Tm  0.847  0.347  0.919
Tm  0.927  0.847  0.500

Properties
Energy of formation from the pure elements in meV per atom: 262
Electronic total energy in eV/atom: -4.336
Symmetry: No. 140
V in Å³ per atom: 32.449